# 1
The following is a GGA-PBE calculation of a relaxed structure of YZrTe4, from Alexandria via LeMat-Bulk.

a = 6.2690 Å, b = 6.2690 Å, c = 6.2690 Å
α = 60.00°, β = 60.00°, γ = 60.00°
Last column: nearest neighbours and their distance in Å.
Positions (direct):
Y 0.0000 0.0000 0.0000  12 Te 3.68, 4 Zr 3.84
Zr 0.7500 0.7500 0.7500  12 Te 3.67, 4 Y 3.84
Te 0.3753 0.3753 0.3753  6 Te 3.13-3.14
Te 0.3753 0.3753 0.8741  6 Te 3.13-3.14
Te 0.3753 0.8741 0.3753  6 Te 3.13-3.14
Te 0.8741 0.3753 0.3753  6 Te 3.13-3.14

## Properties
Formation energy without anion corrections ... 0.34 eV per atom
Energy relative to the lowest polymorph listed for this composition ... 1.293 eV per atom
Uncorrected energy ... -4.257 eV per atom

---

# 2
The following is a GGA-PBE calculation of a relaxed structure of YZrTe3, from Alexandria via LeMat-Bulk.

a = 5.5521 Å, b = 5.5521 Å, c = 5.5521 Å
α = 90.00°, β = 90.00°, γ = 90.00°
Last column: nearest neighbours and their distance in Å.
Positions (direct):
Y 0.0000 0.0000 0.0000  12 Te 3.93
Zr 0.5000 0.5000 0.5000  6 Te 2.78
Te 0.0000 0.5000 0.5000  2 Zr 2.78
Te 0.5000 0.0000 0.5000  2 Zr 2.78
Te 0.5000 0.5000 0.0000  2 Zr 2.78

## Properties
Formation energy without anion corrections ... -0.40 eV per atom
Energy relative to the lowest polymorph listed for this composition ... 0.681 eV per atom
Uncorrected energy ... -5.290 eV per atom

---

# 3
The following is a GGA-PBE calculation of a relaxed structure of YZrTe3, from Alexandria via LeMat-Bulk.

a = 8.4233 Å, b = 4.1162 Å, c = 8.7498 Å
α = 90.00°, β = 98.82°, γ = 90.00°
Last column: nearest neighbours and their distance in Å.
Positions (direct):
Y 0.1058 0.2500 0.2840  8 Te 3.09-3.39
Y 0.8942 0.7500 0.7160  8 Te 3.09-3.39
Zr 0.3703 0.7500 0.8599  6 Te 2.89-2.98
Zr 0.6297 0.2500 0.1401  6 Te 2.89-2.98
Te 0.1275 0.2500 0.9094  2 Zr 2.98, 3 Y 3.15-3.31
Te 0.2025 0.7500 0.5453  1 Zr 2.89, 3 Y 3.09-3.19
Te 0.3999 0.7500 0.1991  3 Zr 2.93-2.94
Te 0.6001 0.2500 0.8009  3 Zr 2.93-2.94
Te 0.7975 0.2500 0.4547  1 Zr 2.89, 3 Y 3.09-3.19
Te 0.8725 0.7500 0.0906  2 Zr 2.98, 3 Y 3.15-3.31

## Properties
Formation energy without anion corrections ... -1.08 eV per atom
Energy relative to the lowest polymorph listed for this composition ... 0.005 eV per atom
Uncorrected energy ... -5.967 eV per atom

---

# 4
The following is a GGA-PBE calculation of a relaxed structure of Y2ZrTe5, from Alexandria via LeMat-Bulk.

a = 7.7635 Å, b = 7.7635 Å, c = 14.2233 Å
α = 90.00°, β = 90.00°, γ = 134.57°
Last column: nearest neighbours and their distance in Å.
Positions (direct):
Y 0.1568 0.8432 0.5580  6 Te 3.02-3.14
Y 0.1568 0.8432 0.9420  6 Te 3.02-3.14
Y 0.8432 0.1568 0.0580  6 Te 3.02-3.14
Y 0.8432 0.1568 0.4420  6 Te 3.02-3.14
Zr 0.1955 0.8045 0.2500  6 Te 2.80-3.05
Zr 0.8045 0.1955 0.7500  6 Te 2.80-3.05
Te 0.0463 0.9537 0.1224  1 Zr 2.80, 2 Y 3.02-3.05
Te 0.0463 0.9537 0.3776  1 Zr 2.80, 2 Y 3.02-3.05
Te 0.2657 0.7343 0.7500  2 Zr 3.05, 2 Y 3.14
Te 0.3251 0.6749 0.0822  1 Zr 3.02, 3 Y 3.03-3.13
Te 0.3251 0.6749 0.4178  1 Zr 3.02, 3 Y 3.03-3.13
Te 0.6749 0.3251 0.5822  1 Zr 3.02, 3 Y 3.03-3.13
Te 0.6749 0.3251 0.9178  1 Zr 3.02, 3 Y 3.03-3.13
Te 0.7343 0.2657 0.2500  2 Zr 3.05, 2 Y 3.14
Te 0.9537 0.0463 0.6224  1 Zr 2.80, 2 Y 3.02-3.05
Te 0.9537 0.0463 0.8776  1 Zr 2.80, 2 Y 3.02-3.05

## Properties
Formation energy without anion corrections ... -1.09 eV per atom
Uncorrected energy ... -5.742 eV per atom

---

# 5
The following is a GGA-PBE calculation of a relaxed structure of Y2Zr2Te, from Alexandria via LeMat-Bulk.

a = 9.8444 Å, b = 9.8444 Å, c = 9.8444 Å
α = 156.98°, β = 156.98°, γ = 32.79°
Last column: nearest neighbours and their distance in Å.
Positions (direct):
Y 0.0993 0.0993 0.0000  4 Te 3.35, 4 Zr 3.46, 1 Y 3.75
Y 0.9007 0.9007 0.0000  4 Te 3.35, 4 Zr 3.46, 1 Y 3.75
Zr 0.2500 0.7500 0.5000  4 Zr 2.78
Zr 0.7500 0.2500 0.5000  4 Zr 2.78
Te 0.5000 0.5000 0.0000  8 Y 3.35

## Properties
Formation energy without anion corrections ... -0.10 eV per atom
Uncorrected energy ... -6.729 eV per atom

---

# 6
The following is a GGA-PBE calculation of a relaxed structure of YZrTe4, from Alexandria via LeMat-Bulk.

a = 6.8007 Å, b = 4.0876 Å, c = 7.2266 Å
α = 90.00°, β = 90.55°, γ = 90.00°
Last column: nearest neighbours and their distance in Å.
Positions (direct):
Y 0.0000 0.0000 0.0000  6 Te 3.05-3.06
Zr 0.0000 0.5000 0.5000  6 Te 2.92-2.93
Te 0.2617 0.0000 0.3474  2 Zr 2.93, 1 Y 3.06
Te 0.2682 0.5000 0.8172  1 Zr 2.92, 2 Y 3.05
Te 0.7318 0.5000 0.1828  1 Zr 2.92, 2 Y 3.05
Te 0.7383 0.0000 0.6526  2 Zr 2.93, 1 Y 3.06

## Properties
Formation energy without anion corrections ... -0.95 eV per atom
Energy relative to the lowest polymorph listed for this composition ... 0.000 eV per atom
Uncorrected energy ... -5.550 eV per atom

---

# 7
The following is a GGA-PBE calculation of a relaxed structure of YZrTe2, from Alexandria via LeMat-Bulk.

a = 5.7431 Å, b = 5.7431 Å, c = 5.1339 Å
α = 97.73°, β = 97.73°, γ = 38.21°
Last column: nearest neighbours and their distance in Å.
Positions (direct):
Y 0.0000 0.0000 0.0000  7 Te 3.04-3.19
Zr 0.2208 0.2208 0.5784  7 Te 3.04-3.20
Te 0.4982 0.4982 0.5016  3 Zr 3.04-3.09, 4 Y 3.17-3.19
Te 0.7275 0.7275 0.0769  3 Y 3.04-3.08, 4 Zr 3.17-3.20

## Properties
Formation energy without anion corrections ... -0.90 eV per atom
Energy relative to the lowest polymorph listed for this composition ... 0.133 eV per atom
Uncorrected energy ... -6.224 eV per atom

---

# 8
The following is a GGA-PBE calculation of a relaxed structure of YZr4Te, from Alexandria via LeMat-Bulk.

a = 6.0007 Å, b = 6.0007 Å, c = 6.0007 Å
α = 60.00°, β = 60.00°, γ = 60.00°
Last column: nearest neighbours and their distance in Å.
Positions (direct):
Y 0.0000 0.0000 0.0000  12 Zr 3.51, 4 Te 3.67
Zr 0.1136 0.6288 0.6288  6 Zr 2.91-3.09
Zr 0.6288 0.1136 0.6288  6 Zr 2.91-3.09
Zr 0.6288 0.6288 0.1136  6 Zr 2.91-3.09
Zr 0.6288 0.6288 0.6288  6 Zr 2.91-3.09
Te 0.2500 0.2500 0.2500  12 Zr 3.53, 4 Y 3.67

## Properties
Formation energy without anion corrections ... 0.16 eV per atom
Uncorrected energy ... -7.141 eV per atom

---

# 9
The following is a GGA-PBE calculation of a relaxed structure of YZrTe2, from Alexandria via LeMat-Bulk.

a = 5.1911 Å, b = 5.1911 Å, c = 5.1911 Å
α = 60.00°, β = 60.00°, γ = 60.00°
Last column: nearest neighbours and their distance in Å.
Positions (direct):
Y 0.0000 0.0000 0.0000  8 Te 3.18
Zr 0.5000 0.5000 0.5000  8 Te 3.18
Te 0.2500 0.2500 0.2500  4 Zr 3.18, 4 Y 3.18
Te 0.7500 0.7500 0.7500  4 Zr 3.18, 4 Y 3.18

## Properties
Formation energy without anion corrections ... -0.94 eV per atom
Energy relative to the lowest polymorph listed for this composition ... 0.094 eV per atom
Uncorrected energy ... -6.264 eV per atom

---

# 10
The following is a GGA-PBE calculation of a relaxed structure of YZrTe2, from Alexandria via LeMat-Bulk.

a = 5.1954 Å, b = 5.1954 Å, c = 3.6748 Å
α = 90.00°, β = 90.00°, γ = 90.00°
Last column: nearest neighbours and their distance in Å.
Positions (direct):
Y 0.0000 0.0000 0.0000  8 Te 3.18
Zr 0.5000 0.5000 0.0000  8 Te 3.18
Te 0.0000 0.5000 0.5000  4 Zr 3.18, 4 Y 3.18
Te 0.5000 0.0000 0.5000  4 Zr 3.18, 4 Y 3.18

## Properties
Formation energy without anion corrections ... -0.92 eV per atom
Energy relative to the lowest polymorph listed for this composition ... 0.110 eV per atom
Uncorrected energy ... -6.248 eV per atom

---

# 11
The following is a GGA-PBE calculation of a relaxed structure of Yb2Te3, from Alexandria via LeMat-Bulk.

a = 14.4496 Å, b = 13.7849 Å, c = 7.5489 Å
α = 79.42°, β = 69.68°, γ = 30.90°
Last column: nearest neighbours and their distance in Å.
Positions (direct):
Yb 0.0418 0.0418 0.2082  6 Te 3.07-3.10
Yb 0.1271 0.1271 0.6229  6 Te 3.07-3.11
Yb 0.2082 0.2082 0.0418  6 Te 3.07-3.10
Yb 0.3771 0.3771 0.8729  6 Te 3.07-3.11
Yb 0.6229 0.6229 0.1271  6 Te 3.07-3.11
Yb 0.7918 0.7918 0.9582  6 Te 3.07-3.10
Yb 0.8729 0.8729 0.3771  6 Te 3.07-3.11
Yb 0.9582 0.9582 0.7918  6 Te 3.07-3.10
Te 0.0454 0.5379 0.2059  4 Yb 3.07-3.11
Te 0.1283 0.6217 0.6217  4 Yb 3.08-3.10
Te 0.2059 0.7108 0.0454  4 Yb 3.07-3.11
Te 0.2892 0.7941 0.4621  4 Yb 3.07-3.11
Te 0.3783 0.8717 0.8717  4 Yb 3.08-3.10
Te 0.4621 0.9546 0.2892  4 Yb 3.07-3.11
Te 0.5379 0.0454 0.7108  4 Yb 3.07-3.11
Te 0.6217 0.1283 0.1283  4 Yb 3.08-3.10
Te 0.7108 0.2059 0.5379  4 Yb 3.07-3.11
Te 0.7941 0.2892 0.9546  4 Yb 3.07-3.11
Te 0.8717 0.3783 0.3783  4 Yb 3.08-3.10
Te 0.9546 0.4621 0.7941  4 Yb 3.07-3.11

## Properties
Formation energy without anion corrections ... -1.13 eV per atom
Uncorrected energy ... -3.626 eV per atom

---

# 12
The following is a GGA-PBE calculation of a relaxed structure of Zn3Te5, from Alexandria via LeMat-Bulk.

a = 7.7090 Å, b = 9.9354 Å, c = 9.9354 Å
α = 36.91°, β = 90.00°, γ = 90.00°
Last column: nearest neighbours and their distance in Å.
Positions (direct):
Zn 0.2500 0.1727 0.8273  3 Te 2.58-2.79
Zn 0.2500 0.4577 0.0606  5 Te 2.79-2.94
Zn 0.2500 0.9278 0.5075  6 Te 2.77-3.03
Zn 0.7500 0.0606 0.4577  5 Te 2.79-2.94
Zn 0.7500 0.5075 0.9278  6 Te 2.77-3.03
Zn 0.7500 0.8273 0.1727  3 Te 2.58-2.79
Te 0.0000 0.1747 0.1747  4 Zn 2.77-2.79
Te 0.0000 0.8198 0.8198  4 Zn 2.94-3.03, 2 Te 3.10
Te 0.2500 0.2259 0.5062  3 Zn 2.79-2.95, 2 Te 3.10
Te 0.2500 0.5705 0.6149  2 Zn 2.60-2.77, 1 Te 2.85
Te 0.2500 0.7459 0.2080  1 Zn 2.58, 1 Te 2.85
Te 0.5000 0.1747 0.1747  4 Zn 2.77-2.79
Te 0.5000 0.8198 0.8198  4 Zn 2.94-3.03, 2 Te 3.10
Te 0.7500 0.2080 0.7459  1 Zn 2.58, 1 Te 2.85
Te 0.7500 0.5062 0.2259  3 Zn 2.79-2.95, 2 Te 3.10
Te 0.7500 0.6149 0.5705  2 Zn 2.60-2.77, 1 Te 2.85

## Properties
Formation energy without anion corrections ... 0.00 eV per atom
Energy relative to the lowest polymorph listed for this composition ... 0.036 eV per atom
Uncorrected energy ... -2.440 eV per atom

---

# 13
The following is a GGA-PBE calculation of a relaxed structure of Zn4Te, from Alexandria via LeMat-Bulk.

a = 5.5142 Å, b = 5.5142 Å, c = 5.5142 Å
α = 109.47°, β = 109.47°, γ = 109.47°
Last column: nearest neighbours and their distance in Å.
Positions (direct):
Zn 0.0000 0.0000 0.5000  2 Te 2.76
Zn 0.0000 0.5000 0.0000  2 Te 2.76
Zn 0.5000 0.0000 0.0000  2 Te 2.76
Zn 0.5000 0.5000 0.5000  2 Te 2.76
Te 0.0000 0.0000 0.0000  8 Zn 2.76

## Properties
Formation energy without anion corrections ... 0.56 eV per atom
Energy relative to the lowest polymorph listed for this composition ... 0.493 eV per atom
Uncorrected energy ... -1.088 eV per atom